{
  "formula": "K3Br2",
  "functional": "GGA-PBE",
  "state": "optimized geometry",
  "formation_energy_uncorrected_ev_per_atom": -1.3667,
  "crystal_system": "trigonal",
  "dos_at_fermi_per_ev_cell": 1.3,
  "m_tot_mub_per_fu": 0.00,
  "volume_a3_per_cell": 227.4,
  "lattice": [[2.346, 1.354, 11.927], [-2.346, 1.354, 11.927], [0.000, -2.709, 11.927]],
  "species": ["K", "K", "K", "Br", "Br"],
  "fractional_positions": [[0.000, 0.000, 0.000], [0.223, 0.223, 0.223], [0.777, 0.777, 0.777], [0.388, 0.388, 0.388], [0.612, 0.612, 0.612]]
}